Record 1
## CaLaSi (GGA-PBEsol)

Data for a relaxed CaLaSi crystal.

Cell lengths 5.032, 5.032, 5.032 Å; angles 60.00, 60.00, 60.00 degrees
Sites, in units of the cell vectors:
Ca1 0.000 0.000 0.000
La1 0.500 0.500 0.500
Si1 0.250 0.250 0.250

M_tot = 0.000 μB/f.u.
Formation energy without anion corrections = -1.312 eV per formula unit

=====

Record 2
## CaLa2Si (GGA-PBEsol)

Data for a relaxed CaLa2Si crystal.

Cell lengths 3.960, 3.959, 7.319 Å; angles 90.07, 90.00, 90.00 degrees
Sites, in units of the cell vectors:
La1 0.500 0.501 0.278
La2 0.000 0.000 0.052
Ca1 0.500 0.499 0.701
Si1 0.000 0.000 0.469

M_tot = 0.010 μB/f.u.
Formation energy without anion corrections = -0.757 eV per formula unit

=====

Record 3
## CaLaSi4 (GGA-PBEsol)

Data for a relaxed CaLaSi4 crystal.

Cell lengths 4.314, 4.314, 7.352 Å; angles 107.06, 107.06, 90.00 degrees
Sites, in units of the cell vectors:
Si1 0.414 0.414 0.828
Si2 0.336 0.836 0.672
Si3 0.164 0.664 0.328
Si4 0.586 0.586 0.172
Ca1 0.750 0.250 0.500
La1 0.000 0.000 0.000

M_tot = 0.000 μB/f.u.
Formation energy without anion corrections = -3.489 eV per formula unit

=====

Record 4
## CaLa2Ta (GGA-PBEsol)

Data for a relaxed CaLa2Ta crystal.

Cell lengths 3.305, 4.976, 6.851 Å; angles 90.00, 90.00, 90.00 degrees
Sites, in units of the cell vectors:
La1 0.500 0.500 0.269
La2 0.000 0.000 0.024
Ta1 0.000 0.000 0.479
Ca1 0.500 0.500 0.728

M_tot = 0.000 μB/f.u.
Formation enthalpy at 0 K = 0.53 eV/atom

=====

Record 5
## CaLaTa2 (GGA-PBEsol)

Data for a relaxed CaLaTa2 crystal.

Cell lengths 3.515, 3.515, 8.626 Å; angles 90.00, 90.00, 90.00 degrees
Sites, in units of the cell vectors:
Ca1 0.000 0.000 0.441
Ta1 0.500 0.500 0.190
Ta2 0.000 0.000 0.057
La1 0.500 0.500 0.812

M_tot = 0.000 μB/f.u.
Formation enthalpy at 0 K = 0.36 eV/atom

=====

Record 6
## CaLaTa (GGA-PBEsol)

Data for a relaxed CaLaTa crystal.

Cell lengths 5.096, 5.096, 5.096 Å; angles 60.00, 60.00, 60.00 degrees
Site moments in Bohr magnetons follow the coordinates.
Sites, in units of the cell vectors:
Ta1 0.250 0.250 0.250  1.32
Ca1 0.000 0.000 0.000  0.11
La1 0.500 0.500 0.500  0.24

M_tot = 2.498 μB/f.u.
Formation enthalpy at 0 K = 1.19 eV/atom

=====

Record 7
## CaLa2Ta (GGA-PBEsol)

Data for a relaxed CaLa2Ta crystal.

Cell lengths 3.289, 6.001, 6.855 Å; angles 115.96, 103.88, 90.00 degrees
Sites, in units of the cell vectors:
Ta1 0.500 0.000 0.000
La1 0.210 0.210 0.419
La2 0.790 0.790 0.581
Ca1 0.000 0.500 0.000

M_tot = 0.001 μB/f.u.
Formation enthalpy at 0 K = 0.49 eV/atom

=====

Record 8
## Ca4LaTa (GGA-PBEsol)

Data for a relaxed Ca4LaTa crystal.

Cell lengths 6.547, 6.547, 6.547 Å; angles 60.00, 60.00, 60.00 degrees
Site moments in Bohr magnetons follow the coordinates.
Sites, in units of the cell vectors:
La1 0.750 0.750 0.750  0.03
Ca1 0.877 0.374 0.374  0.05
Ca2 0.374 0.877 0.374  0.05
Ca3 0.374 0.374 0.877  0.05
Ca4 0.374 0.374 0.374  0.05
Ta1 0.000 0.000 0.000  1.77

M_tot = 3.947 μB/f.u.
Formation enthalpy at 0 K = 0.86 eV/atom

=====

Record 9
## Ca2LaTa (GGA-PBEsol)

Data for a relaxed Ca2LaTa crystal.

Cell lengths 3.358, 5.456, 7.299 Å; angles 111.95, 103.30, 90.00 degrees
Sites, in units of the cell vectors:
La1 0.500 0.000 0.000
Ca1 0.297 0.297 0.594
Ca2 0.703 0.703 0.406
Ta1 0.000 0.500 0.000

M_tot = 0.000 μB/f.u.
Formation enthalpy at 0 K = 0.58 eV/atom

=====

Record 10
## Ca2LaTa (GGA-PBEsol)

Data for a relaxed Ca2LaTa crystal.

Cell lengths 3.269, 5.522, 6.666 Å; angles 95.28, 90.00, 107.22 degrees
Sites, in units of the cell vectors:
Ta1 0.753 0.506 0.291
La1 0.491 0.981 0.448
Ca1 0.248 0.496 0.741
Ca2 0.009 0.018 0.019

M_tot = 0.000 μB/f.u.
Formation enthalpy at 0 K = 0.58 eV/atom

=====

Record 11
## Ca2LaTa (GGA-PBEsol)

Data for a relaxed Ca2LaTa crystal.

Cell lengths 5.448, 5.448, 5.448 Å; angles 60.00, 60.00, 60.00 degrees
Site moments in Bohr magnetons follow the coordinates.
Sites, in units of the cell vectors:
Ta1 0.500 0.500 0.500  0.73
Ca1 0.750 0.750 0.750  0.03
Ca2 0.250 0.250 0.250  0.03
La1 0.000 0.000 0.000  -0.03

M_tot = 1.171 μB/f.u.
Formation enthalpy at 0 K = 0.79 eV/atom

=====

Record 12
## Ca2LaYTc (GGA-PBEsol)

Data for a relaxed Ca2LaYTc crystal.

Cell lengths 4.705, 5.700, 5.700 Å; angles 90.00, 90.00, 90.00 degrees
Sites, in units of the cell vectors:
Y1 0.500 0.500 0.500
Tc1 0.500 0.000 0.000
La1 0.000 0.000 0.000
Ca1 0.000 0.500 0.000
Ca2 0.000 0.000 0.500

M_tot = 0.000 μB/f.u.
Formation enthalpy at 0 K = 0.85 eV/atom

=====

Record 13
## CaLaYTc2 (GGA-PBEsol)

Data for a relaxed CaLaYTc2 crystal.

Cell lengths 4.825, 4.825, 5.031 Å; angles 90.00, 90.00, 90.00 degrees
Site moments in Bohr magnetons follow the coordinates.
Sites, in units of the cell vectors:
Ca1 0.000 0.000 0.000  -0.02
La1 0.500 0.500 0.500  -0.01
Tc1 0.500 0.000 0.000  0.47
Tc2 0.000 0.500 0.000  0.47
Y1 0.000 0.000 0.500  -0.08

M_tot = 0.856 μB/f.u.
Formation enthalpy at 0 K = 1.57 eV/atom

=====

Record 14
## CaLa2Te4 (GGA-PBEsol)

Data for a relaxed CaLa2Te4 crystal.

Cell lengths 8.238, 8.238, 8.238 Å; angles 109.79, 109.79, 108.83 degrees
Sites, in units of the cell vectors:
La1 0.499 0.375 0.624
La2 0.125 0.501 0.876
La3 0.625 0.249 0.124
La4 0.751 0.875 0.376
Te1 0.375 0.476 0.253
Te2 0.223 0.123 0.747
Te3 0.726 0.125 0.753
Te4 0.524 0.777 0.899
Te5 0.875 0.627 0.601
Te6 0.027 0.274 0.399
Te7 0.373 0.973 0.247
Te8 0.877 0.625 0.101
Ca1 0.250 0.750 0.500
Ca2 0.000 0.000 0.000

M_tot = 0.000 μB/f.u.
Formation energy without anion corrections = -11.303 eV per formula unit

=====

Record 15
## CaLa2Te (GGA-PBEsol)

Data for a relaxed CaLa2Te crystal.

Cell lengths 3.893, 5.378, 7.052 Å; angles 112.41, 106.02, 90.00 degrees
Sites, in units of the cell vectors:
Te1 0.500 0.000 0.000
Ca1 0.000 0.500 0.000
La1 0.788 0.788 0.576
La2 0.212 0.212 0.424

M_tot = 0.000 μB/f.u.
Formation energy without anion corrections = -2.372 eV per formula unit

=====

Record 16
## CaLaTe (GGA-PBEsol)

Data for a relaxed CaLaTe crystal.

Cell lengths 5.211, 5.211, 5.211 Å; angles 60.00, 60.00, 60.00 degrees
Sites, in units of the cell vectors:
La1 0.500 0.500 0.500
Ca1 0.000 0.000 0.000
Te1 0.250 0.250 0.250

M_tot = 0.011 μB/f.u.
Formation energy without anion corrections = -2.133 eV per formula unit

=====

Record 17
## Ca2LaTl2 (GGA-PBEsol)

Data for a relaxed Ca2LaTl2 crystal.

Cell lengths 4.758, 4.758, 7.751 Å; angles 107.88, 107.88, 90.00 degrees
Site moments in Bohr magnetons follow the coordinates.
Sites, in units of the cell vectors:
Tl1 0.601 0.601 0.202  0.00
Tl2 0.399 0.399 0.798  0.00
La1 0.000 0.000 0.000  0.07
Ca1 0.750 0.250 0.500  0.03
Ca2 0.250 0.750 0.500  0.03

M_tot = 0.508 μB/f.u.
Formation enthalpy at 0 K = -0.26 eV/atom

=====

Record 18
## CaLa2Tl2 (GGA-PBEsol)

Data for a relaxed CaLa2Tl2 crystal.

Cell lengths 4.361, 8.570, 8.570 Å; angles 90.00, 90.00, 90.00 degrees
Sites, in units of the cell vectors:
La1 0.500 0.170 0.670
La2 0.500 0.330 0.170
La3 0.500 0.670 0.830
La4 0.500 0.830 0.330
Ca1 0.000 0.500 0.500
Ca2 0.000 0.000 0.000
Tl1 0.000 0.129 0.371
Tl2 0.000 0.871 0.629
Tl3 0.000 0.371 0.871
Tl4 0.000 0.629 0.129

M_tot = 0.212 μB/f.u.
Formation enthalpy at 0 K = -0.39 eV/atom

=====

Record 19
## Ca2LaTl (GGA-PBEsol)

Data for a relaxed Ca2LaTl crystal.

Cell lengths 4.913, 4.913, 5.230 Å; angles 90.00, 90.00, 90.00 degrees
Sites, in units of the cell vectors:
Tl1 0.000 0.000 0.500
La1 0.500 0.500 0.500
Ca1 0.500 0.000 0.000
Ca2 0.000 0.500 0.000

M_tot = 0.000 μB/f.u.
Formation enthalpy at 0 K = -0.23 eV/atom

=====

Record 20
## Ca2LaTl (GGA-PBEsol)

Data for a relaxed Ca2LaTl crystal.

Cell lengths 3.695, 4.675, 7.481 Å; angles 90.00, 90.05, 90.00 degrees
Sites, in units of the cell vectors:
La1 0.000 0.000 0.531
Ca1 0.999 0.000 0.970
Ca2 0.500 0.500 0.252
Tl1 0.500 0.500 0.747

M_tot = 0.000 μB/f.u.
Formation enthalpy at 0 K = -0.19 eV/atom

=====

Record 21
## CaLa2W (GGA-PBEsol)

Data for a relaxed CaLa2W crystal.

Cell lengths 5.268, 5.268, 5.268 Å; angles 60.00, 60.00, 60.00 degrees
Sites, in units of the cell vectors:
Ca1 0.500 0.500 0.500
W1 0.250 0.250 0.250
La1 0.000 0.000 0.000
La2 0.750 0.750 0.750

M_tot = 0.000 μB/f.u.
Formation enthalpy at 0 K = 0.78 eV/atom

=====

Record 22
## CaLa2W (GGA-PBEsol)

Data for a relaxed CaLa2W crystal.

Cell lengths 4.711, 4.711, 5.751 Å; angles 114.18, 114.18, 90.00 degrees
Sites, in units of the cell vectors:
W1 0.500 0.500 0.000
La1 0.000 0.000 0.000
La2 0.750 0.250 0.500
Ca1 0.250 0.750 0.500

M_tot = 0.000 μB/f.u.
Formation enthalpy at 0 K = 0.72 eV/atom

=====

Record 23
## CaLa2W (GGA-PBEsol)

Data for a relaxed CaLa2W crystal.

Cell lengths 3.155, 5.003, 6.647 Å; angles 90.00, 90.00, 90.00 degrees
Sites, in units of the cell vectors:
W1 0.000 0.000 0.485
La1 0.000 0.000 0.015
La2 0.500 0.500 0.275
Ca1 0.500 0.500 0.725

M_tot = 0.001 μB/f.u.
Formation enthalpy at 0 K = 0.71 eV/atom

=====

Record 24
## Ca2LaW (GGA-PBEsol)

Data for a relaxed Ca2LaW crystal.

Cell lengths 3.299, 3.299, 10.976 Å; angles 90.00, 90.00, 106.81 degrees
Sites, in units of the cell vectors:
Ca1 0.500 0.500 0.750
Ca2 0.000 0.000 0.050
La1 0.000 0.000 0.444
W1 0.500 0.500 0.256

M_tot = 0.000 μB/f.u.
Formation enthalpy at 0 K = 0.65 eV/atom

=====

Record 25
## CaLaW2 (GGA-PBEsol)

Data for a relaxed CaLaW2 crystal.

Cell lengths 3.170, 4.419, 7.867 Å; angles 93.56, 90.00, 111.02 degrees
Sites, in units of the cell vectors:
W1 0.263 0.525 0.813
W2 0.988 0.976 0.936
Ca1 0.513 0.026 0.569
La1 0.736 0.473 0.181

M_tot = 0.000 μB/f.u.
Formation enthalpy at 0 K = 0.71 eV/atom

=====

Record 26
## CaLaW (GGA-PBEsol)

Data for a relaxed CaLaW crystal.

Cell lengths 3.050, 3.050, 8.430 Å; angles 100.42, 100.42, 90.00 degrees
Sites, in units of the cell vectors:
Ca1 0.976 0.976 0.952
W1 0.334 0.334 0.668
La1 0.690 0.690 0.380

M_tot = 0.000 μB/f.u.
Formation enthalpy at 0 K = 0.79 eV/atom

=====

Record 27
## CaLa2W (GGA-PBEsol)

Data for a relaxed CaLa2W crystal.

Cell lengths 3.177, 5.945, 5.945 Å; angles 111.48, 90.00, 90.00 degrees
Sites, in units of the cell vectors:
W1 0.500 0.000 0.000
La1 0.000 0.000 0.500
La2 0.000 0.500 0.000
Ca1 0.500 0.500 0.500

M_tot = 0.001 μB/f.u.
Formation enthalpy at 0 K = 0.79 eV/atom

=====

Record 28
## CaLa2Y (GGA-PBEsol)

Data for a relaxed CaLa2Y crystal.

Cell lengths 3.613, 3.613, 10.644 Å; angles 90.00, 90.00, 90.00 degrees
Sites, in units of the cell vectors:
Ca1 0.500 0.500 0.500
La1 0.000 0.000 0.234
La2 0.000 0.000 0.766
Y1 0.500 0.500 0.000

M_tot = 0.000 μB/f.u.
Formation enthalpy at 0 K = 0.06 eV/atom

=====

Record 29
## Ca4LaY (GGA-PBEsol)

Data for a relaxed Ca4LaY crystal.

Cell lengths 6.916, 6.916, 6.916 Å; angles 60.00, 60.00, 60.00 degrees
Site moments in Bohr magnetons follow the coordinates.
Sites, in units of the cell vectors:
Ca1 0.375 0.375 0.876  0.03
Ca2 0.375 0.876 0.375  0.03
Ca3 0.375 0.375 0.375  0.03
Ca4 0.876 0.375 0.375  0.03
Y1 0.000 0.000 0.000  0.44
La1 0.750 0.750 0.750  0.29

M_tot = 2.333 μB/f.u.
Formation enthalpy at 0 K = 0.31 eV/atom